# AgSbP

AgSbP after structural relaxation (PBE, Alexandria).

## Properties
* excess energy over the best structure of this formula in the dataset: 232 meV per atom
* density: 6.9 g/cm³
* M_tot: 0.00 μB per cell
* formation energy (no corrections): 1.19 eV per formula unit

extended XYZ file:
```
3
Lattice="-1.7651 1.7651 5.0625 1.7651 -1.7651 5.0625 1.7651 1.7651 -5.0625" Properties=species:S:1:pos:R:3 pbc="T T T"
Ag 0.0000 0.0000 0.0000
Sb 0.0000 0.0000 7.1477
P 0.0000 0.0000 3.3531
```



# AgSbP2

AgSbP2 after structural relaxation (PBE, Alexandria).

## Properties
* density: 6.1 g/cm³
* M_tot: 0.00 μB per cell
* formation energy (no corrections): 0.77 eV per formula unit

extended XYZ file:
```
4
Lattice="3.2703 0.0000 0.0000 0.0000 2.6908 4.5284 0.0000 -2.6908 4.5284" Properties=species:S:1:pos:R:3 pbc="T T T"
Ag 0.0000 0.0000 0.0000
Sb 1.6351 0.0000 6.5290
P 0.0000 0.0000 4.0340
P 1.6351 0.0000 2.4668
```



# AgSbP

AgSbP after structural relaxation (PBE, Alexandria).

## Properties
* excess energy over the best structure of this formula in the dataset: 204 meV per atom
* density: 6.2 g/cm³
* M_tot: 0.00 μB per cell
* formation energy (no corrections): 1.10 eV per formula unit

extended XYZ file:
```
3
Lattice="0.0000 3.2693 3.2693 3.2693 0.0000 3.2693 3.2693 3.2693 0.0000" Properties=species:S:1:pos:R:3 pbc="T T T"
Ag 0.0000 0.0000 0.0000
Sb 3.2693 3.2693 3.2693
P 1.6346 1.6346 1.6346
```



# Ag2SbP

Ag2SbP after structural relaxation (PBE, Alexandria).

## Properties
* excess energy over the best structure of this formula in the dataset: 121 meV per atom
* density: 7.7 g/cm³
* M_tot: 0.00 μB per cell
* formation energy (no corrections): 1.35 eV per formula unit

extended XYZ file:
```
4
Lattice="-2.1265 2.1265 4.4044 2.1265 -2.1265 4.4044 2.1265 2.1265 -4.4044" Properties=species:S:1:pos:R:3 pbc="T T T"
Ag 0.0000 0.0000 0.0000
Ag 0.0000 2.1265 2.2022
Sb 0.0000 0.0000 4.4044
P 2.1265 0.0000 2.2022
```



# Ag4SbP

Ag4SbP after structural relaxation (PBE, Alexandria).

## Properties
* density: 8.1 g/cm³
* M_tot: 0.00 μB per cell
* formation energy (no corrections): 2.22 eV per formula unit

extended XYZ file:
```
6
Lattice="0.0000 3.9153 3.9153 3.9153 0.0000 3.9153 3.9153 3.9153 0.0000" Properties=species:S:1:pos:R:3 pbc="T T T"
Ag 0.9786 0.9786 0.9786
Ag 2.9367 2.9367 0.9786
Ag 2.9367 0.9786 2.9367
Ag 0.9786 2.9367 2.9367
Sb 3.9153 3.9153 3.9153
P 5.8730 5.8730 5.8730
```



# Ag2SbP

Ag2SbP after structural relaxation (PBE, Alexandria).

## Properties
* excess energy over the best structure of this formula in the dataset: 56 meV per atom
* density: 7.6 g/cm³
* M_tot: 0.00 μB per cell
* formation energy (no corrections): 1.09 eV per formula unit

extended XYZ file:
```
4
Lattice="4.2468 -1.8275 0.0000 4.2468 1.8275 0.0000 -1.3766 0.0000 5.1843" Properties=species:S:1:pos:R:3 pbc="T T T"
Ag 1.7512 0.0000 1.0918
Ag 5.3657 0.0000 4.0925
Sb -0.6883 0.0000 2.5922
P 4.2468 0.0000 0.0000
```



# Ag2SbP

Ag2SbP after structural relaxation (PBE, Alexandria).

## Properties
* excess energy over the best structure of this formula in the dataset: 15 meV per atom
* density: 7.2 g/cm³
* M_tot: 0.00 μB per cell
* formation energy (no corrections): 0.93 eV per formula unit

extended XYZ file:
```
4
Lattice="1.8258 1.0541 7.3390 -1.8258 1.0541 7.3390 0.0000 -2.1083 7.3390" Properties=species:S:1:pos:R:3 pbc="T T T"
Ag 0.0000 0.0000 0.0000
Ag 0.0000 0.0000 5.3917
Sb 0.0000 0.0000 10.6195
P 0.0000 0.0000 16.3641
```



# Ag2SbP

Ag2SbP after structural relaxation (PBE, Alexandria).

## Properties
* excess energy over the best structure of this formula in the dataset: 240 meV per atom
* density: 6.3 g/cm³
* M_tot: 0.00 μB per cell
* formation energy (no corrections): 1.83 eV per formula unit

extended XYZ file:
```
8
Lattice="-3.3329 3.3329 4.4046 3.3329 -3.3329 4.4046 3.3329 3.3329 -4.4046" Properties=species:S:1:pos:R:3 pbc="T T T"
Ag 4.9994 1.3957 -1.1011
Ag 1.3957 1.6665 1.1011
Ag -1.6665 1.9373 3.3034
Ag 1.9373 1.6665 5.5057
Sb 3.3329 0.0000 2.2023
Sb 0.0000 0.0000 4.4046
P 0.0000 0.0000 0.0000
P 0.0000 3.3329 2.2023
```